[1]
! Ca2AlTlC (PBE, optimized geometry); values from VASP
&SYSTEM
  ibrav = 0, nat = 5, ntyp = 4
/
ATOMIC_SPECIES
Ca 40.08 Ca.upf
Al 26.98 Al.upf
Tl 204.38 Tl.upf
C 12.01 C.upf
CELL_PARAMETERS angstrom
5.2775 0.0000 0.0000
0.0000 5.2775 0.0000
0.0000 0.0000 3.9308
ATOMIC_POSITIONS crystal
Ca 0.0000 0.5000 0.0000
Ca 0.5000 0.0000 0.0000
Al 0.0000 0.0000 0.5000
Tl 0.5000 0.5000 0.5000
C 0.0000 0.0000 0.0000
! - E_form (kJ/mol of formula units) = -47



[2]
! FeSbTe2 (PBE, optimized geometry); values from VASP
&SYSTEM
  ibrav = 0, nat = 8, ntyp = 3
/
ATOMIC_SPECIES
Fe 55.84 Fe.upf
Sb 121.76 Sb.upf
Te 127.60 Te.upf
CELL_PARAMETERS angstrom
5.8910 0.0000 0.0000
0.0000 8.5585 0.0000
-2.9096 0.0000 4.2662
ATOMIC_POSITIONS crystal
Fe 0.0000 0.0000 0.0000
Fe 0.5000 0.5000 0.0000
Sb 0.0000 0.5000 0.0000
Sb 0.5000 0.0000 0.0000
Te 0.2500 0.2500 0.5000
Te 0.2500 0.7500 0.5000
Te 0.7500 0.2500 0.5000
Te 0.7500 0.7500 0.5000
! - final energy (Ry/atom) = -0.321



[3]
! TlI (PBE, optimized geometry); values from VASP
&SYSTEM
  ibrav = 0, nat = 8, ntyp = 2
/
ATOMIC_SPECIES
Tl 204.38 Tl.upf
I 126.90 I.upf
CELL_PARAMETERS angstrom
7.1020 0.0000 0.0000
0.0000 7.1020 0.0000
0.0000 0.0000 7.1020
ATOMIC_POSITIONS crystal
Tl 0.0000 0.0000 0.0000
Tl 0.0000 0.5000 0.5000
Tl 0.5000 0.0000 0.5000
Tl 0.5000 0.5000 0.0000
I 0.0000 0.0000 0.5000
I 0.0000 0.5000 0.0000
I 0.5000 0.0000 0.0000
I 0.5000 0.5000 0.5000
! - polymorph energy (0 for the lowest one) (eV per formula unit) = 0.000